No. 1
RbCaTl2Rh, optimized geometry, DFT PBE; ΔE_f = -163 meV/atom; total magnetization = 0.0 μB per cell; symmetry = No. 123; crystal system = tetragonal
1.0
-4.307 -0.416 3.307
-2.886 -2.237 -4.041
1.651 -4.902 1.534
Tl Rh Ca Rb
2 1 1 1
direct
0.000 0.500 0.000 Tl
0.500 0.000 0.000 Tl
0.000 0.000 0.000 Rh
0.000 0.000 0.500 Ca
0.500 0.500 0.500 Rb


No. 2
RbCa2TlRh, optimized geometry, DFT PBE; ΔE_f = -181 meV/atom; total magnetization = 0.0 μB per cell; symmetry = No. 123; crystal system = tetragonal
1.0
5.579 0.000 0.000
0.000 5.579 0.000
0.000 0.000 5.505
Ca Rb Rh Tl
2 1 1 1
direct
0.500 0.000 0.000 Ca
0.000 0.500 0.000 Ca
0.500 0.500 0.500 Rb
0.000 0.000 0.000 Rh
0.000 0.000 0.500 Tl


No. 3
RbCaZnRh2, optimized geometry, DFT PBE; ΔE_f = 1317 meV/atom; total magnetization = 0.0 μB per cell; symmetry = No. 123; crystal system = tetragonal
1.0
-0.481 -4.652 1.688
5.341 -0.630 -0.215
0.383 1.655 4.672
Rh Rb Ca Zn
2 1 1 1
direct
0.000 0.000 0.500 Rh
0.500 0.000 0.000 Rh
0.000 0.000 0.000 Rb
0.500 0.500 0.500 Ca
0.000 0.500 0.000 Zn


No. 4
RbCa3Ru, optimized geometry, DFT PBE; ΔE_f = 196 meV/atom; total magnetization = 0.0 μB per cell; symmetry = No. 221; crystal system = cubic
1.0
5.727 0.000 0.000
0.000 5.727 0.000
0.000 0.000 5.727
Ca Rb Ru
3 1 1
direct
0.500 0.000 0.000 Ca
0.000 0.500 0.000 Ca
0.000 0.000 0.500 Ca
0.500 0.500 0.500 Rb
0.000 0.000 0.000 Ru


No. 5
Rb2Ca2Ru, optimized geometry, DFT PBE; ΔE_f = 1112 meV/atom; total magnetization = 0.0 μB per cell; symmetry = No. 127; crystal system = tetragonal
1.0
7.931 0.000 0.000
0.000 7.931 0.000
0.000 0.000 6.235
Rb Ru Ca
4 2 4
direct
0.647 0.147 0.000 Rb
0.853 0.647 0.000 Rb
0.147 0.353 0.000 Rb
0.353 0.853 0.000 Rb
0.500 0.500 0.000 Ru
0.000 0.000 0.000 Ru
0.804 0.304 0.500 Ca
0.304 0.196 0.500 Ca
0.696 0.804 0.500 Ca
0.196 0.696 0.500 Ca


No. 6
Rb2Ca2Ru, optimized geometry, DFT PBE; ΔE_f = 1167 meV/atom; total magnetization = 2.4 μB per cell; symmetry = No. 139; crystal system = tetragonal
1.0
4.839 0.000 0.000
0.000 4.839 0.000
2.420 2.420 11.357
Ca Ru Rb
2 1 2
direct
0.250 0.750 0.500 Ca
0.750 0.250 0.500 Ca
0.000 0.000 0.000 Ru
0.418 0.418 0.164 Rb
0.582 0.582 0.836 Rb


No. 7
Rb2CaRu2, optimized geometry, DFT PBE; ΔE_f = 1155 meV/atom; total magnetization = 4.4 μB per cell; symmetry = No. 139; crystal system = tetragonal
1.0
-1.473 -3.140 -3.100
-1.445 -2.745 3.466
-8.318 0.448 0.008
Ca Rb Ru
1 2 2
direct
0.000 0.000 0.000 Ca
0.750 0.250 0.500 Rb
0.250 0.750 0.500 Rb
0.575 0.575 0.850 Ru
0.425 0.425 0.150 Ru


No. 8
RbCaRu3, optimized geometry, DFT PBE; ΔE_f = 2152 meV/atom; total magnetization = 5.3 μB per cell; symmetry = No. 221; crystal system = cubic
1.0
-0.963 2.927 -4.072
-4.288 1.670 2.214
2.601 3.836 2.143
Rb Ru Ca
1 3 1
direct
0.500 0.500 0.500 Rb
0.500 0.000 0.000 Ru
0.000 0.000 0.500 Ru
0.000 0.500 0.000 Ru
0.000 0.000 0.000 Ca


No. 9
RbCa3Ru, optimized geometry, DFT PBE; ΔE_f = 1827 meV/atom; total magnetization = 0.0 μB per cell; symmetry = No. 221; crystal system = cubic
1.0
5.490 0.000 0.000
0.000 5.490 0.000
0.000 0.000 5.490
Rb Ca Ru
1 3 1
direct
0.000 0.000 0.000 Rb
0.000 0.000 0.500 Ca
0.500 0.000 0.000 Ca
0.000 0.500 0.000 Ca
0.500 0.500 0.500 Ru


No. 10
Rb2CaRu2, optimized geometry, DFT PBE; ΔE_f = 1021 meV/atom; total magnetization = 6.6 μB per cell; symmetry = No. 127; crystal system = tetragonal
1.0
7.482 0.000 0.000
0.000 7.482 0.000
0.000 0.000 6.046
Rb Ru Ca
4 4 2
direct
0.826 0.326 0.500 Rb
0.674 0.826 0.500 Rb
0.174 0.674 0.500 Rb
0.326 0.174 0.500 Rb
0.608 0.108 0.000 Ru
0.392 0.892 0.000 Ru
0.892 0.608 0.000 Ru
0.108 0.392 0.000 Ru
0.500 0.500 0.000 Ca
0.000 0.000 0.000 Ca


No. 11
RbCaRu3, optimized geometry, DFT PBE; ΔE_f = 2411 meV/atom; total magnetization = 4.6 μB per cell; symmetry = No. 221; crystal system = cubic
1.0
4.917 0.000 0.000
0.000 4.917 0.000
0.000 0.000 4.917
Ru Rb Ca
3 1 1
direct
0.500 0.000 0.000 Ru
0.000 0.000 0.500 Ru
0.000 0.500 0.000 Ru
0.000 0.000 0.000 Rb
0.500 0.500 0.500 Ca


No. 12
RbCaSi2Ru, optimized geometry, DFT PBE; total magnetization = 0.0 μB per cell; formation energy from raw total energies = 2.08 eV/f.u.; symmetry = No. 123; crystal system = tetragonal
1.0
-0.760 -0.487 -4.624
4.158 -3.998 -0.262
-3.180 -3.364 0.877
Ca Rb Si Ru
1 1 2 1
direct
0.500 0.500 0.500 Ca
0.000 0.500 0.000 Rb
0.000 0.000 0.500 Si
0.500 0.000 0.000 Si
0.000 0.000 0.000 Ru


What did the second record say?
RbCa2TlRh, optimized geometry, DFT PBE; ΔE_f = -181 meV/atom; total magnetization = 0.0 μB per cell; symmetry = No. 123; crystal system = tetragonal
1.0
5.579 0.000 0.000
0.000 5.579 0.000
0.000 0.000 5.505
Ca Rb Rh Tl
2 1 1 1
direct
0.500 0.000 0.000 Ca
0.000 0.500 0.000 Ca
0.500 0.500 0.500 Rb
0.000 0.000 0.000 Rh
0.000 0.000 0.500 Tl


Question: What is the formula in the tenth record?
Answer: Rb2CaRu2


Please write out number 1 again, unchanged.
RbCaTl2Rh, optimized geometry, DFT PBE; ΔE_f = -163 meV/atom; total magnetization = 0.0 μB per cell; symmetry = No. 123; crystal system = tetragonal
1.0
-4.307 -0.416 3.307
-2.886 -2.237 -4.041
1.651 -4.902 1.534
Tl Rh Ca Rb
2 1 1 1
direct
0.000 0.500 0.000 Tl
0.500 0.000 0.000 Tl
0.000 0.000 0.000 Rh
0.000 0.000 0.500 Ca
0.500 0.500 0.500 Rb